Run i
LaV | PBE | relaxed

Unit cell a=3.067 b=3.067 c=10.818 alpha=90.00 beta=90.00 gamma=120.00
Sites, in units of the cell vectors:
La 0.333 0.667 0.000
La 0.667 0.333 0.500
V 0.333 0.667 0.745
V 0.667 0.333 0.245



Run ii
LaV | PBE | relaxed

Unit cell a=8.183 b=8.183 c=8.183 alpha=90.00 beta=90.00 gamma=90.00
Sites, in units of the cell vectors:
La 0.000 0.250 0.500
La 0.000 0.750 0.500
La 0.250 0.500 0.000
La 0.500 0.000 0.250
La 0.500 0.000 0.750
La 0.750 0.500 0.000
V 0.000 0.500 0.250
V 0.000 0.500 0.750
V 0.250 0.000 0.500
V 0.500 0.250 0.000
V 0.500 0.750 0.000
V 0.750 0.000 0.500



Run iii
LaV | PBE | relaxed

Unit cell a=8.098 b=8.098 c=8.098 alpha=92.15 beta=92.15 gamma=157.66
Sites, in units of the cell vectors:
La 0.116 0.808 0.924
La 0.192 0.116 0.308
La 0.808 0.884 0.692
La 0.884 0.192 0.076
V 0.049 0.386 0.436
V 0.386 0.951 0.337
V 0.614 0.049 0.663
V 0.951 0.614 0.564



Run iv
LaV | PBE | relaxed

Unit cell a=3.728 b=3.728 c=3.728 alpha=90.00 beta=90.00 gamma=90.00
Sites, in units of the cell vectors:
La 0.000 0.000 0.000
V 0.500 0.500 0.500



Most stable structure: run iii



Run i
LaV | PBE | relaxed

Unit cell a=5.291 b=7.713 c=9.845 alpha=90.00 beta=90.00 gamma=90.00
Sites, in units of the cell vectors:
La 0.028 0.119 0.107
La 0.072 0.135 0.766
La 0.428 0.865 0.266
La 0.472 0.881 0.607
La 0.528 0.381 0.893
La 0.572 0.365 0.234
La 0.928 0.635 0.734
La 0.972 0.619 0.393
V 0.060 0.524 0.048
V 0.167 0.229 0.448
V 0.333 0.771 0.948
V 0.440 0.476 0.548
V 0.560 0.976 0.952
V 0.667 0.271 0.552
V 0.833 0.729 0.052
V 0.940 0.024 0.452



Run ii
LaV | PBE | relaxed

Unit cell a=3.479 b=16.414 c=5.172 alpha=90.00 beta=90.00 gamma=90.00
Sites, in units of the cell vectors:
La 0.250 0.085 0.089
La 0.250 0.415 0.089
La 0.250 0.750 0.676
La 0.750 0.250 0.324
La 0.750 0.585 0.911
La 0.750 0.915 0.911
V 0.250 0.250 0.790
V 0.250 0.579 0.408
V 0.250 0.921 0.408
V 0.750 0.079 0.592
V 0.750 0.421 0.592
V 0.750 0.750 0.210



Run iii
LaV | PBE | relaxed

Unit cell a=8.584 b=7.688 c=5.636 alpha=78.56 beta=61.38 gamma=40.06
Sites, in units of the cell vectors:
La 0.042 0.708 0.042
La 0.292 0.958 0.292
La 0.708 0.042 0.708
La 0.958 0.292 0.958
V 0.307 0.307 0.443
V 0.443 0.443 0.307
V 0.557 0.557 0.693
V 0.693 0.693 0.557



Most stable structure: run iii



Run i
LaVW3 | PBE | relaxed

Unit cell a=4.807 b=4.807 c=4.807 alpha=90.00 beta=90.00 gamma=90.00
Sites, in units of the cell vectors:
La 0.000 0.000 0.000
V 0.500 0.500 0.500
W 0.000 0.000 0.500
W 0.000 0.500 0.000
W 0.500 0.000 0.000



Run ii
LaVW3 | PBE | relaxed

Unit cell a=4.718 b=4.718 c=4.718 alpha=90.00 beta=90.00 gamma=90.00
Sites, in units of the cell vectors:
La 0.000 0.000 0.000
V 0.500 0.500 0.500
W 0.000 0.500 0.500
W 0.500 0.000 0.500
W 0.500 0.500 0.000



Most stable structure: run ii



Run i
LaYV2 | PBE | relaxed

Unit cell a=5.179 b=5.179 c=5.179 alpha=60.00 beta=60.00 gamma=60.00
Sites, in units of the cell vectors:
La 0.000 0.000 0.000
Y 0.500 0.500 0.500
V 0.250 0.250 0.250
V 0.750 0.750 0.750



Run ii
LaYV2 | PBE | relaxed

Unit cell a=6.498 b=6.498 c=6.498 alpha=103.34 beta=103.34 gamma=122.58
Sites, in units of the cell vectors:
La 0.000 0.000 0.000
La 0.750 0.250 0.500
Y 0.250 0.750 0.500
Y 0.500 0.500 0.000
V 0.122 0.625 0.997
V 0.375 0.372 0.497
V 0.628 0.125 0.003
V 0.875 0.878 0.503



Most stable structure: run i



Run i
LaZr3V | PBE | relaxed

Unit cell a=5.133 b=5.133 c=5.133 alpha=90.00 beta=90.00 gamma=90.00
Sites, in units of the cell vectors:
La 0.000 0.000 0.000
Zr 0.000 0.000 0.500
Zr 0.000 0.500 0.000
Zr 0.500 0.000 0.000
V 0.500 0.500 0.500



Run ii
LaZr3V | PBE | relaxed

Unit cell a=5.072 b=5.072 c=5.072 alpha=90.00 beta=90.00 gamma=90.00
Sites, in units of the cell vectors:
La 0.000 0.000 0.000
Zr 0.000 0.500 0.500
Zr 0.500 0.000 0.500
Zr 0.500 0.500 0.000
V 0.500 0.500 0.500



Most stable structure: run ii



Run i
La2ZrV | PBE | relaxed

Unit cell a=5.380 b=5.380 c=5.380 alpha=60.00 beta=60.00 gamma=60.00
Sites, in units of the cell vectors:
La 0.250 0.250 0.250
La 0.750 0.750 0.750
Zr 0.000 0.000 0.000
V 0.500 0.500 0.500



Run ii
La2ZrV | PBE | relaxed

Unit cell a=6.755 b=6.755 c=6.755 alpha=102.37 beta=102.37 gamma=124.87
Sites, in units of the cell vectors:
La 0.085 0.125 0.460
La 0.375 0.915 0.040
La 0.665 0.625 0.540
La 0.875 0.335 0.960
Zr 0.250 0.750 0.500
Zr 0.500 0.500 0.000
V 0.000 0.000 0.000
V 0.750 0.250 0.500



Most stable structure: run i



Run i
LaZr2V | PBE | relaxed

Unit cell a=5.064 b=5.064 c=5.064 alpha=60.00 beta=60.00 gamma=60.00
Sites, in units of the cell vectors:
La 0.000 0.000 0.000
Zr 0.250 0.250 0.250
Zr 0.750 0.750 0.750
V 0.500 0.500 0.500



Run ii
LaZr2V | PBE | relaxed

Unit cell a=10.862 b=10.862 c=10.862 alpha=16.87 beta=16.87 gamma=16.87
Sites, in units of the cell vectors:
La 0.000 0.000 0.000
Zr 0.100 0.100 0.100
Zr 0.900 0.900 0.900
V 0.500 0.500 0.500



Most stable structure: run ii



Run i
LaW3 | PBE | relaxed

Unit cell a=5.257 b=5.257 c=5.594 alpha=105.79 beta=105.79 gamma=35.81
Sites, in units of the cell vectors:
La 0.000 0.000 0.000
W 0.217 0.217 0.653
W 0.500 0.500 0.500
W 0.783 0.783 0.347



Run ii
LaW3 | PBE | relaxed

Unit cell a=3.202 b=3.202 c=7.868 alpha=90.00 beta=90.00 gamma=90.00
Sites, in units of the cell vectors:
La 0.000 0.000 0.000
W 0.000 0.000 0.500
W 0.500 0.500 0.309
W 0.500 0.500 0.691



Most stable structure: run ii



Run i
LaW3 | PBE | relaxed

Unit cell a=2.872 b=2.872 c=9.864 alpha=90.00 beta=90.00 gamma=111.95
Sites, in units of the cell vectors:
La 0.000 0.000 0.000
W 0.000 0.000 0.500
W 0.500 0.500 0.282
W 0.500 0.500 0.718



Run ii
LaW3 | PBE | relaxed

Unit cell a=4.290 b=4.290 c=4.290 alpha=90.00 beta=90.00 gamma=90.00
Sites, in units of the cell vectors:
La 0.000 0.000 0.000
W 0.000 0.500 0.500
W 0.500 0.000 0.500
W 0.500 0.500 0.000



Most stable structure: run i



Run i
LaW4 | PBE | relaxed

Unit cell a=4.727 b=4.727 c=4.727 alpha=90.00 beta=90.00 gamma=90.00
Sites, in units of the cell vectors:
La 0.000 0.000 0.000
W 0.000 0.000 0.500
W 0.000 0.500 0.000
W 0.500 0.000 0.000
W 0.500 0.500 0.500



Run ii
LaW4 | PBE | relaxed

Unit cell a=6.418 b=6.418 c=6.418 alpha=140.38 beta=140.38 gamma=57.27
Sites, in units of the cell vectors:
La 0.000 0.000 0.000
W 0.250 0.750 0.500
W 0.378 0.378 0.000
W 0.622 0.622 0.000
W 0.750 0.250 0.500



Run iii
LaW4 | PBE | relaxed

Unit cell a=5.049 b=5.049 c=5.049 alpha=103.09 beta=103.09 gamma=123.17
Sites, in units of the cell vectors:
La 0.000 0.000 0.000
W 0.196 0.563 0.760
W 0.437 0.196 0.633
W 0.563 0.804 0.367
W 0.804 0.437 0.240



Most stable structure: run ii